First-principles (PBE) data for RePt2Au after structural relaxation, as listed in Alexandria.

Calculated values
E ... -6.576 eV/atom
Calculated formation energy ... 0.376 eV per atom
Relative energy among the computed polymorphs ... 0.4697 eV per atom

```
data_RePt2Au
_cell_length_a 6.356
_cell_length_b 6.356
_cell_length_c 6.356
_cell_angle_alpha 90.00
_cell_angle_beta 90.00
_cell_angle_gamma 90.00
_space_group_name_H-M_alt 'F -4 3 m'
_space_group_IT_number 216
_space_group_name_Hall 'F -4 2 3'
loop_
_atom_site_label
_atom_site_type_symbol
_atom_site_fract_x
_atom_site_fract_y
_atom_site_fract_z
Re1 Re 0.000 0.000 0.000
Pt1 Pt 0.000 0.000 0.500
Pt2 Pt 0.250 0.250 0.250
Au1 Au 0.250 0.250 0.750
```